No. 1
Computed, not measured: a relaxed structure of Ba2InTe at the PBE-GGA level of DFT.

Summary:
- Energy relative to the lowest polymorph listed for this composition: 0.228 eV per atom
- Uncorrected energy: -3.134 eV per atom
- Formation energy (no corrections): -2.810 eV per formula unit
- Fermi-level density of states: 9.18 states/eV per cell

Cell: 7.860 7.860 7.860 Å, 107.17 107.17 114.19°
Element x y z (fractional)
Ba  0.109  0.625  0.984
Ba  0.375  0.359  0.484
Ba  0.641  0.125  0.016
Ba  0.875  0.891  0.516
In  0.250  0.750  0.500
In  0.500  0.500  0.000
Te  0.000  0.000  0.000
Te  0.750  0.250  0.500



No. 2
Computed, not measured: a relaxed structure of BaSiPbSe2 at the PBE-GGA level of DFT.

Summary:
- Uncorrected energy: -3.038 eV per atom
- Formation energy (no corrections): 2.836 eV per formula unit
- Fermi-level density of states: 6.12 states/eV per cell

Cell: 5.972 5.972 5.758 Å, 90.00 90.00 90.00°
Element x y z (fractional)
Ba  0.000  0.000  0.000
Si  0.000  0.000  0.500
Pb  0.500  0.500  0.500
Se  0.000  0.500  0.000
Se  0.500  0.000  0.000



No. 3
Computed, not measured: a relaxed structure of Li3TiCu4O8 at the PBE-GGA level of DFT.

Summary:
- Uncorrected energy: -5.773 eV per atom
- Formation energy (no corrections): -22.678 eV per formula unit
- Fermi-level density of states: 5.53 states/eV per cell

Cell: 6.184 6.184 5.607 Å, 114.48 114.48 55.28°
Element x y z (fractional)
Li  0.000  0.000  0.000
Li  0.000  0.500  0.500
Li  0.500  0.000  0.500
Ti  0.500  0.500  0.500
Cu  0.000  0.000  0.500
Cu  0.000  0.500  0.000
Cu  0.500  0.000  0.000
Cu  0.500  0.500  0.000
O  0.201  0.201  0.739
O  0.238  0.702  0.727
O  0.289  0.289  0.258
O  0.298  0.762  0.273
O  0.702  0.238  0.727
O  0.711  0.711  0.742
O  0.762  0.298  0.273
O  0.799  0.799  0.261



No. 4
Computed, not measured: a relaxed structure of Mg3Zn3Ag5 at the PBE-GGA level of DFT.

Summary:
- Energy relative to the lowest polymorph listed for this composition: 0.030 eV per atom
- Uncorrected energy: -1.990 eV per atom
- Fermi-level density of states: 3.30 states/eV per cell

Cell: 9.154 9.154 3.006 Å, 90.00 90.00 120.00°
Element x y z (fractional)
Mg  0.000  0.579  0.000
Mg  0.421  0.421  0.000
Mg  0.579  0.000  0.000
Zn  0.000  0.330  0.500
Zn  0.330  0.000  0.500
Zn  0.670  0.670  0.500
Ag  0.000  0.824  0.500
Ag  0.176  0.176  0.500
Ag  0.333  0.667  0.500
Ag  0.667  0.333  0.500
Ag  0.824  0.000  0.500



No. 5
Computed, not measured: a relaxed structure of ScP2PdS at the PBE-GGA level of DFT.

Summary:
- Energy relative to the lowest polymorph listed for this composition: 0.313 eV per atom
- Uncorrected energy: -4.841 eV per atom
- Formation energy (no corrections): 2.266 eV per formula unit
- Fermi-level density of states: 3.87 states/eV per cell

Cell: 4.914 4.914 4.761 Å, 90.00 90.00 90.00°
Element x y z (fractional)
Sc  0.000  0.000  0.000
P  0.000  0.500  0.000
P  0.500  0.000  0.000
Pd  0.500  0.500  0.500
S  0.000  0.000  0.500



No. 6
Computed, not measured: a relaxed structure of PmNdCo at the PBE-GGA level of DFT.

Summary:
- Energy relative to the lowest polymorph listed for this composition: 0.000 eV per atom
- Uncorrected energy: -5.610 eV per atom
- Fermi-level density of states: 6.61 states/eV per cell

Cell: 3.767 6.567 7.050 Å, 95.08 105.42 106.65°
Element x y z (fractional)
Pm  0.090  0.269  0.412
Pm  0.910  0.731  0.588
Nd  0.192  0.770  0.115
Nd  0.808  0.230  0.885
Co  0.422  0.538  0.806
Co  0.578  0.462  0.194